No. 1
# Na2MgCdH

A geometry-optimized Na2MgCdH structure (PBE, Alexandria via LeMat-Bulk).

POSCAR file:
```
Na2MgCdH
1.0
4.6685 0.0000 0.0000
0.0000 4.6685 0.0000
0.0000 0.0000 4.6439
Cd H Na Mg
1 1 2 1
Direct
0.5000 0.5000 0.5000
0.0000 0.0000 0.0000
0.0000 0.5000 0.0000
0.5000 0.0000 0.0000
0.0000 0.0000 0.5000
```

Total energy   -8.51 eV/cell
Space-group type   P4/mmm (123)

No. 2
# LiTiVRh2

A geometry-optimized LiTiVRh2 structure (PBE, Alexandria via LeMat-Bulk).

POSCAR file:
```
LiTiVRh2
1.0
-2.9438 -1.5929 -2.9438
3.3185 -1.0642 -2.7427
0.2787 -4.0234 1.8984
V Li Rh Ti
1 1 2 1
Direct
0.5000 0.5000 0.5000
0.0000 0.5000 0.0000
0.5000 0.0000 0.0000
0.0000 0.0000 0.5000
0.0000 0.0000 0.0000
```

Calculated formation energy   0.865 eV per atom
Space-group type   P4/mmm (123)

No. 3
# BaY2Ta

A geometry-optimized BaY2Ta structure (PBE, Alexandria via LeMat-Bulk).

POSCAR file:
```
BaY2Ta
1.0
-3.1972 -4.5406 0.2013
-5.4395 0.3823 -1.0704
-2.0673 -2.1525 -4.6875
Y Ba Ta
2 1 1
Direct
0.7500 0.7500 0.7500
0.2500 0.2500 0.2500
0.0000 0.0000 0.0000
0.5000 0.5000 0.5000
```

Calculated formation energy   0.720 eV per atom
Excess energy over the best structure of this formula in the dataset   0.341 eV per atom
Space-group type   Fm-3m (225)

No. 4
# SrYMg2Hg4

A geometry-optimized SrYMg2Hg4 structure (PBE, Alexandria via LeMat-Bulk).

POSCAR file:
```
SrYMg2Hg4
1.0
5.1367 0.0000 0.0000
2.5684 4.4485 0.0000
2.5684 1.4828 8.6671
Hg Y Mg Sr
4 1 2 1
Direct
0.1271 0.1271 0.6188
0.8729 0.8729 0.3812
0.3811 0.3811 0.8567
0.6189 0.6189 0.1433
0.5000 0.5000 0.5000
0.7535 0.7535 0.7394
0.2465 0.2465 0.2606
0.0000 0.0000 0.0000
```

Calculated formation energy   -0.424 eV per atom
Space-group type   R-3m (166)